No. 1
Below is a PBEsol-optimized structure of Cs2Sb2OF10, with properties calculated at the meta-GGA SCAN level.

Calculated values
Energy (eV per atom): -15.43
Raw formation energy (meV per atom): -2645.6
Volume (Å³/f.u.): 267.4
D(E_F) (states/eV/f.u.): 0.00
Crystal system: monoclinic
Symmetry: P2/c (13)

Unit cell a=7.4692 b=5.2661 c=13.8235 alpha=90.00 beta=100.46 gamma=90.00
Positions (direct):
Cs (0.2388, 0.1023, 0.4071)
Cs (0.2388, 0.8977, 0.9071)
Cs (0.7612, 0.1023, 0.0929)
Cs (0.7612, 0.8977, 0.5929)
Sb (0.2926, 0.4835, 0.6655)
Sb (0.2926, 0.5165, 0.1655)
Sb (0.7074, 0.4835, 0.8345)
Sb (0.7074, 0.5165, 0.3345)
O (0.5000, 0.3609, 0.2500)
O (0.5000, 0.6391, 0.7500)
F (0.0832, 0.3400, 0.5826)
F (0.0832, 0.6600, 0.0826)
F (0.1499, 0.2208, 0.1805)
F (0.1499, 0.7792, 0.6805)
F (0.2095, 0.3387, 0.7767)
F (0.2095, 0.6613, 0.2767)
F (0.3576, 0.3635, 0.0501)
F (0.3576, 0.6365, 0.5501)
F (0.4213, 0.1841, 0.6386)
F (0.4213, 0.8159, 0.1386)
F (0.5787, 0.1841, 0.8614)
F (0.5787, 0.8159, 0.3614)
F (0.6424, 0.3635, 0.4499)
F (0.6424, 0.6365, 0.9499)
F (0.7905, 0.3387, 0.7233)
F (0.7905, 0.6613, 0.2233)
F (0.8501, 0.2208, 0.3195)
F (0.8501, 0.7792, 0.8195)
F (0.9168, 0.3400, 0.9174)
F (0.9168, 0.6600, 0.4174)


No. 2
Below is a PBEsol-optimized structure of Ta3Fe5, with properties calculated at the meta-GGA SCAN level.

Calculated values
Energy (eV per atom): -36.41
Volume (Å³/f.u.): 104.3
D(E_F) (states/eV/f.u.): 4.48
Crystal system: orthorhombic
Symmetry: Cmmm (65)

Unit cell a=5.9669 b=8.3310 c=4.1963 alpha=90.00 beta=90.00 gamma=90.00
Positions (direct):
Ta (0.0000, 0.0000, 0.0000)
Ta (0.0000, 0.2650, 0.5000)
Ta (0.0000, 0.7350, 0.5000)
Ta (0.5000, 0.2350, 0.5000)
Ta (0.5000, 0.5000, 0.0000)
Ta (0.5000, 0.7650, 0.5000)
Fe (0.0000, 0.5000, 0.0000)
Fe (0.2398, 0.0000, 0.5000)
Fe (0.2500, 0.2500, 0.0000)
Fe (0.2500, 0.7500, 0.0000)
Fe (0.2602, 0.5000, 0.5000)
Fe (0.5000, 0.0000, 0.0000)
Fe (0.7398, 0.5000, 0.5000)
Fe (0.7500, 0.2500, 0.0000)
Fe (0.7500, 0.7500, 0.0000)
Fe (0.7602, 0.0000, 0.5000)


No. 3
Below is a PBEsol-optimized structure of CdGePt3, with properties calculated at the meta-GGA SCAN level.

Calculated values
Energy (eV per atom): -50.55
Volume (Å³/f.u.): 115.1
D(E_F) (states/eV/f.u.): 5.84
Crystal system: cubic
Symmetry: Pm-3m (221)

Unit cell a=4.8640 b=4.8640 c=4.8640 alpha=90.00 beta=90.00 gamma=90.00
Positions (direct):
Cd (0.0000, 0.0000, 0.0000)
Ge (0.5000, 0.5000, 0.5000)
Pt (0.0000, 0.0000, 0.5000)
Pt (0.0000, 0.5000, 0.0000)
Pt (0.5000, 0.0000, 0.0000)


No. 4
Below is a PBEsol-optimized structure of LaMg2Fe, with properties calculated at the meta-GGA SCAN level.

Calculated values
Energy (eV per atom): -17.63
Volume (Å³/f.u.): 86.6
D(E_F) (states/eV/f.u.): 3.72
Crystal system: orthorhombic
Symmetry: Immm (71)

Unit cell a=3.1586 b=4.8132 c=11.3938 alpha=90.00 beta=90.00 gamma=90.00
Positions (direct):
La (0.0000, 0.0000, 0.0000)
La (0.5000, 0.5000, 0.5000)
Mg (0.0000, 0.5000, 0.2024)
Mg (0.0000, 0.5000, 0.7976)
Mg (0.5000, 0.0000, 0.2976)
Mg (0.5000, 0.0000, 0.7024)
Fe (0.0000, 0.0000, 0.5000)
Fe (0.5000, 0.5000, 0.0000)


No. 5
Below is a PBEsol-optimized structure of NiSbAs, with properties calculated at the meta-GGA SCAN level.

Calculated values
Energy (eV per atom): -24.67
Raw formation energy (meV per atom): -133.2
Volume (Å³/f.u.): 56.0
D(E_F) (states/eV/f.u.): 1.62
Crystal system: trigonal
Symmetry: P3m1 (156)

Unit cell a=3.7013 b=3.7013 c=4.7221 alpha=90.00 beta=90.00 gamma=120.00
Positions (direct):
Ni (0.0000, 0.0000, 0.0000)
Sb (0.3333, 0.6667, 0.7058)
As (0.6667, 0.3333, 0.2017)


No. 6
Below is a PBEsol-optimized structure of BeTl3, with properties calculated at the meta-GGA SCAN level.

Calculated values
Energy (eV per atom): -54.80
Volume (Å³/f.u.): 95.9
D(E_F) (states/eV/f.u.): 1.76
Crystal system: tetragonal
Symmetry: I4/mmm (139)

Unit cell a=4.5050 b=4.5050 c=9.4492 alpha=90.00 beta=90.00 gamma=90.00
Positions (direct):
Be (0.0000, 0.0000, 0.0000)
Be (0.5000, 0.5000, 0.5000)
Tl (0.0000, 0.0000, 0.5000)
Tl (0.0000, 0.5000, 0.2500)
Tl (0.0000, 0.5000, 0.7500)
Tl (0.5000, 0.0000, 0.2500)
Tl (0.5000, 0.0000, 0.7500)
Tl (0.5000, 0.5000, 0.0000)